The following is a GGA-PBE calculation of a relaxed Rb2AcInTe4 crystal, from the Alexandria database.

a = 9.754 Å, b = 9.754 Å, c = 9.981 Å
α = 120.75°, β = 120.75°, γ = 90.85°
Element x y z (fractional)
Rb1 0.500 0.000 0.000
Rb2 0.500 0.000 0.500
Rb3 0.000 0.000 0.500
Rb4 0.500 0.500 0.000
Ac1 0.000 0.500 0.000
Ac2 0.000 0.500 0.500
In1 0.500 0.500 0.500
In2 0.000 0.000 0.000
Te1 0.216 0.749 0.983
Te2 0.751 0.284 0.517
Te3 0.249 0.716 0.483
Te4 0.784 0.251 0.017
Te5 0.758 0.744 0.954
Te6 0.756 0.742 0.546
Te7 0.244 0.258 0.454
Te8 0.242 0.256 0.046

Values from the calculation:
energy relative to the elements, uncorrected: -0.9648 eV/atom
size of the total moment: 0.00 μB per formula unit
VASP energy: -58.13 eV per cell